[1]
SmZrGa3 | Alexandria | PBE | optimized geometry; magnetization = 0.00 μB/atom
1.0
-3.697 -0.680 1.599
0.432 -3.983 -0.695
4.978 0.565 11.753
Sm Zr Ga
2 2 6
direct
0.250 0.076 0.152 Sm
0.750 0.924 0.848 Sm
0.250 0.794 0.588 Zr
0.750 0.206 0.412 Zr
0.250 0.376 0.752 Ga
0.750 0.624 0.248 Ga
0.250 0.474 0.949 Ga
0.750 0.526 0.051 Ga
0.750 0.317 0.634 Ga
0.250 0.683 0.366 Ga



[2]
Tb2AlHg | Alexandria | PBE | optimized geometry; magnetization = 0.00 μB/atom
1.0
3.667 0.000 0.000
1.834 3.176 0.000
1.834 1.059 9.258
Tb Hg Al
2 1 1
direct
0.253 0.253 0.241 Tb
0.747 0.747 0.759 Tb
0.500 0.500 0.500 Hg
0.000 0.000 0.000 Al



Looking at formation energy for the records above, in order, we have -0.623 -0.269 eV per atom.